Below is a relaxed YIrPt crystal, with properties calculated at the PBE-GGA level.

Cell and atoms, written as POSCAR:
```
YIrPt
1.0
-2.046 1.823 1.602
-0.604 -3.090 -0.398
3.198 -1.350 5.622
Pt Y Ir
1 1 1
Cartesian
-0.497 -0.265 2.812 Pt
1.066 -2.361 4.050 Y
3.177 -1.341 5.586 Ir
```

As for the total magnetization: 0.00 μB/atom. As for the crystal system: trigonal. For the calculated formation energy, the calculation gives -0.037 eV per atom.